Entry from the Alexandria database: crystalline Ti2NbSnO at its relaxed geometry (PBE-GGA).

a = 4.175 Å, b = 4.175 Å, c = 4.410 Å
α = 90.00°, β = 90.00°, γ = 90.00°
Each line ends with the local moment (μB).
Fractional positions:
Sn 0.500 0.500 0.500  0.01
Nb 0.000 0.000 0.500  0.23
Ti 0.000 0.500 0.000  0.39
O 0.000 0.000 0.000  0.00
Ti 0.500 0.000 0.000  0.39

Results
The calculation puts the total energy at -7.966 eV/atom. For the density of states at the Fermi level, the calculation gives 6.2 states/eV/f.u. Its uncorrected formation energy is -1.0020 eV/atom. Its total magnetization is 1.3 μB per formula unit.